Entry 1:
# TcRuC3 GGA-PBE relaxed
# symmetry: Pm-3m, No. 221
# E_tot: -7.13 eV/atom
# crystal system: cubic
# polymorph energy (0 for the lowest one): 85.0 meV per atom
# E_form: 2328 meV per atom
data_TcRuC3
_chemical_formula_sum 'Tc1 Ru1 C3'
_cell_length_a 3.938
_cell_length_b 3.938
_cell_length_c 3.938
_cell_angle_alpha 90.00
_cell_angle_beta 90.00
_cell_angle_gamma 90.00
_symmetry_space_group_name_H-M 'P 1'
_symmetry_Int_Tables_number 1
_symmetry_space_group_name_Hall 'P 1'
loop_
_atom_site_label
_atom_site_fract_x
_atom_site_fract_y
_atom_site_fract_z
Ru1 0.000 0.000 0.000
C1 0.000 0.500 0.000
Tc1 0.500 0.500 0.500
C2 0.500 0.000 0.000
C3 0.000 0.000 0.500

=====

Entry 2:
# DyHfCuPt GGA-PBE relaxed
# symmetry: F-43m, No. 216
# E_tot: -6.77 eV/atom
# crystal system: cubic
# E_form: -597 meV per atom
data_DyHfCuPt
_chemical_formula_sum 'Dy1 Hf1 Cu1 Pt1'
_cell_length_a 4.783
_cell_length_b 4.783
_cell_length_c 4.783
_cell_angle_alpha 60.00
_cell_angle_beta 60.00
_cell_angle_gamma 60.00
_symmetry_space_group_name_H-M 'P 1'
_symmetry_Int_Tables_number 1
_symmetry_space_group_name_Hall 'P 1'
loop_
_atom_site_label
_atom_site_fract_x
_atom_site_fract_y
_atom_site_fract_z
Dy1 0.000 0.000 0.000
Hf1 0.500 0.500 0.500
Pt1 0.750 0.750 0.750
Cu1 0.250 0.250 0.250

=====

Entry 3:
# Ba2AgAs GGA-PBE relaxed
# symmetry: Pmm2, No. 25
# E_tot: -3.48 eV/atom
# crystal system: orthorhombic
# E_form: -644 meV per atom
data_Ba2AgAs
_chemical_formula_sum 'Ba2 Ag1 As1'
_cell_length_a 5.665
_cell_length_b 4.178
_cell_length_c 5.665
_cell_angle_alpha 90.00
_cell_angle_beta 90.00
_cell_angle_gamma 90.00
_symmetry_space_group_name_H-M 'P 1'
_symmetry_Int_Tables_number 1
_symmetry_space_group_name_Hall 'P 1'
loop_
_atom_site_label
_atom_site_fract_x
_atom_site_fract_y
_atom_site_fract_z
Ag1 0.000 0.625 0.374
Ba1 0.500 0.125 0.375
As1 0.500 0.625 0.875
Ba2 0.000 0.125 0.875

=====

Entry 4:
# DyHgPdPt GGA-PBE relaxed
# symmetry: F-43m, No. 216
# E_tot: -4.77 eV/atom
# crystal system: cubic
# E_form: -735 meV per atom
data_DyHgPdPt
_chemical_formula_sum 'Dy1 Hg1 Pd1 Pt1'
_cell_length_a 4.801
_cell_length_b 4.801
_cell_length_c 4.801
_cell_angle_alpha 60.00
_cell_angle_beta 60.00
_cell_angle_gamma 60.00
_symmetry_space_group_name_H-M 'P 1'
_symmetry_Int_Tables_number 1
_symmetry_space_group_name_Hall 'P 1'
loop_
_atom_site_label
_atom_site_fract_x
_atom_site_fract_y
_atom_site_fract_z
Dy1 0.000 0.000 0.000
Hg1 0.500 0.500 0.500
Pd1 0.250 0.250 0.250
Pt1 0.750 0.750 0.750

=====

Entry 5:
# Pa2MnSi4Ni3 GGA-PBE relaxed
# symmetry: P-4m2, No. 115
# E_tot: -7.46 eV/atom
# crystal system: tetragonal
data_Pa2MnSi4Ni3
_chemical_formula_sum 'Pa2 Mn1 Si4 Ni3'
_cell_length_a 3.984
_cell_length_b 3.984
_cell_length_c 9.405
_cell_angle_alpha 90.00
_cell_angle_beta 90.00
_cell_angle_gamma 90.00
_symmetry_space_group_name_H-M 'P 1'
_symmetry_Int_Tables_number 1
_symmetry_space_group_name_Hall 'P 1'
loop_
_atom_site_label
_atom_site_fract_x
_atom_site_fract_y
_atom_site_fract_z
Ni1 0.000 0.500 0.124
Mn1 0.500 0.500 0.500
Si1 0.500 0.000 0.631
Si2 0.000 0.000 0.000
Si3 0.500 0.500 0.000
Pa1 0.000 0.500 0.745
Ni2 0.500 0.000 0.876
Ni3 0.000 0.000 0.500
Pa2 0.500 0.000 0.255
Si4 0.000 0.500 0.369

=====

Entry 6:
# MnNi2Pd9 GGA-PBE relaxed
# symmetry: P4/mmm, No. 123
# E_tot: -5.68 eV/atom
# crystal system: tetragonal
# E_form: -57 meV per atom
data_MnNi2Pd9
_chemical_formula_sum 'Mn1 Ni2 Pd9'
_cell_length_a 3.883
_cell_length_b 3.883
_cell_length_c 11.686
_cell_angle_alpha 90.00
_cell_angle_beta 90.00
_cell_angle_gamma 90.00
_symmetry_space_group_name_H-M 'P 1'
_symmetry_Int_Tables_number 1
_symmetry_space_group_name_Hall 'P 1'
loop_
_atom_site_label
_atom_site_fract_x
_atom_site_fract_y
_atom_site_fract_z
Pd1 0.500 0.500 0.665
Pd2 0.500 0.000 0.170
Pd3 0.500 0.000 0.500
Ni1 0.000 0.000 0.662
Pd4 0.500 0.000 0.830
Pd5 0.000 0.500 0.170
Ni2 0.000 0.000 0.338
Pd6 0.000 0.500 0.500
Pd7 0.500 0.500 0.335
Mn1 0.000 0.000 0.000
Pd8 0.000 0.500 0.830
Pd9 0.500 0.500 0.000

=====

Entry 7:
# FeSn GGA-PBE relaxed
# symmetry: P4_2/mnm, No. 136
# E_tot: -5.73 eV/atom
# crystal system: tetragonal
# E_form: 507 meV per atom
data_FeSn
_chemical_formula_sum 'Fe4 Sn4'
_cell_length_a 5.254
_cell_length_b 5.254
_cell_length_c 5.453
_cell_angle_alpha 90.00
_cell_angle_beta 90.00
_cell_angle_gamma 90.00
_symmetry_space_group_name_H-M 'P 1'
_symmetry_Int_Tables_number 1
_symmetry_space_group_name_Hall 'P 1'
loop_
_atom_site_label
_atom_site_fract_x
_atom_site_fract_y
_atom_site_fract_z
Fe1 0.811 0.811 0.500
Fe2 0.689 0.311 0.000
Sn1 0.298 0.702 0.500
Sn2 0.702 0.298 0.500
Sn3 0.798 0.798 0.000
Fe3 0.189 0.189 0.500
Sn4 0.202 0.202 0.000
Fe4 0.311 0.689 0.000

=====

Entry 8:
# CaIn2PbI6 GGA-PBE relaxed
# symmetry: R3, No. 146
# E_tot: -2.88 eV/atom
# crystal system: trigonal
data_CaIn2PbI6
_chemical_formula_sum 'Ca1 In2 Pb1 I6'
_cell_length_a 8.487
_cell_length_b 8.487
_cell_length_c 8.831
_cell_angle_alpha 61.28
_cell_angle_beta 61.27
_cell_angle_gamma 59.98
_symmetry_space_group_name_H-M 'P 1'
_symmetry_Int_Tables_number 1
_symmetry_space_group_name_Hall 'P 1'
loop_
_atom_site_label
_atom_site_fract_x
_atom_site_fract_y
_atom_site_fract_z
Ca1 0.322 0.322 0.033
Pb1 0.821 0.822 0.536
I1 0.190 0.965 0.258
I2 0.097 0.454 0.766
I3 0.454 0.683 0.766
I4 0.965 0.587 0.258
I5 0.683 0.097 0.766
In1 0.020 0.020 0.941
In2 0.522 0.522 0.435
I6 0.587 0.190 0.258

=====

no.,size of the total moment (μB per formula unit)
1,2.63
2,0.00
3,0.00
4,0.00
5,0.00
6,7.51
7,2.22
8,0.00